[1]
This record from the Alexandria database describes a relaxed LaScV2O crystal. The functional is GGA+U.

```
LaScV2O
1.0
4.1218 0.0000 0.0000
0.0000 5.0624 0.0000
0.0000 0.0000 4.1218
La V O Sc
1 2 1 1
Cartesian
0.0000 2.5312 0.0000
2.0609 0.0000 0.0000
0.0000 0.0000 2.0609
0.0000 0.0000 0.0000
2.0609 2.5312 2.0609
```

Results
For the energy, the calculation gives -6.088 eV per atom.

***

[2]
This record from the Alexandria database describes a relaxed LaSc2WO8 crystal. The functional is GGA+U.

```
LaSc2WO8
1.0
4.8408 -0.0299 -0.0029
0.0044 4.8412 -0.0051
0.0044 0.0071 6.8692
O W Sc La
8 1 2 1
Cartesian
0.9458 3.8963 1.4077
3.4416 3.4165 -0.0057
0.9483 3.9005 5.4521
3.2305 3.2100 3.4292
3.9012 0.9179 1.4091
3.9038 0.9221 5.4535
1.4080 1.4020 6.8669
1.6191 1.6084 3.4319
0.0000 0.0000 0.0000
2.4236 2.4073 1.5997
2.4259 2.4111 5.2615
0.0022 0.0035 3.4346
```

Results
For the energy, the calculation gives -8.180 eV per atom.

***

[3]
This record from the Alexandria database describes a relaxed La2ScWO crystal. The functional is GGA+U.

```
La2ScWO
1.0
-1.1220 5.6459 2.0767
-2.4741 0.5784 -2.9092
-4.5634 -2.1753 3.4484
La O Sc W
2 1 1 1
Cartesian
-2.2817 -1.0877 1.7242
-0.5610 2.8230 1.0384
-1.2370 0.2892 -1.4546
0.0000 0.0000 0.0000
-4.0798 2.0245 1.3079
```

Results
For the energy, the calculation gives -5.592 eV per atom.

***

- Look up the energy of the second one.
  -8.180 eV per atom

***

- What is the energy in the first record?
  -6.088 eV per atom

***

- What is the energy in the first record?
  -6.088 eV per atom

***

- Look up the energy of the third one.
  -5.592 eV per atom